1.
## Y2TePd (GGA-PBE)

Data for crystalline Y2TePd at its relaxed geometry.

Output
**Energy**: -6.37 eV/atom

Cell: 7.6611 7.6611 7.6611 Å, 31.74 31.74 31.74°
Fractional positions:
Y (0.0000, 0.0000, 0.0000)
Y (0.1924, 0.1924, 0.1924)
Te (0.7632, 0.7632, 0.7632)
Pd (0.5970, 0.5970, 0.5970)

2.
## PrSm4Te5 (GGA-PBE)

Data for crystalline PrSm4Te5 at its relaxed geometry.

Output
**Relative energy among the computed polymorphs**: 0 meV/atom
**Energy**: -5.33 eV/atom

Cell: 7.7282 7.7282 10.9492 Å, 118.26 118.26 33.53°
Fractional positions:
Pr (0.0000, 0.0000, 0.0000)
Sm (0.2025, 0.2025, 0.7991)
Sm (0.4015, 0.4015, 0.6030)
Sm (0.5985, 0.5985, 0.3970)
Sm (0.7975, 0.7975, 0.2009)
Te (0.0000, 0.0000, 0.5000)
Te (0.2019, 0.2019, 0.3048)
Te (0.3967, 0.3967, 0.1020)
Te (0.6033, 0.6033, 0.8980)
Te (0.7981, 0.7981, 0.6952)

3.
## Sc6Ge3H (GGA-PBE)

Data for crystalline Sc6Ge3H at its relaxed geometry.

Output
**Energy**: -6.07 eV/atom

Cell: 8.2943 8.2943 5.6545 Å, 90.00 90.00 100.33°
Fractional positions:
Sc (0.0903, 0.9097, 0.5000)
Sc (0.1101, 0.5321, 0.2801)
Sc (0.2326, 0.3240, 0.8433)
Sc (0.2994, 0.7006, 0.7721)
Sc (0.3240, 0.2326, 0.3433)
Sc (0.4679, 0.8899, 0.2801)
Sc (0.5321, 0.1101, 0.7801)
Sc (0.6760, 0.7674, 0.8433)
Sc (0.7006, 0.2994, 0.2721)
Sc (0.7674, 0.6760, 0.3433)
Sc (0.8899, 0.4679, 0.7801)
Sc (0.9097, 0.0903, 0.0000)
Ge (0.0034, 0.2352, 0.4983)
Ge (0.2352, 0.0034, 0.9983)
Ge (0.4707, 0.5293, 0.1215)
Ge (0.5293, 0.4707, 0.6215)
Ge (0.7648, 0.9966, 0.4983)
Ge (0.9966, 0.7648, 0.9983)
H (0.2513, 0.7487, 0.4303)
H (0.7487, 0.2513, 0.9303)

4.
## Ba4As2N (GGA-PBE)

Data for crystalline Ba4As2N at its relaxed geometry.

Output
**Relative energy among the computed polymorphs**: 0 meV/atom
**Energy**: -4.41 eV/atom

Cell: 9.4895 9.4895 9.4895 Å, 147.78 147.78 46.21°
Fractional positions:
Ba (0.0000, 0.5000, 0.5000)
Ba (0.1743, 0.1743, 0.0000)
Ba (0.5000, 0.0000, 0.5000)
Ba (0.8257, 0.8257, 0.0000)
As (0.3643, 0.3643, 0.0000)
As (0.6357, 0.6357, 0.0000)
N (0.0000, 0.0000, 0.0000)

5.
## PmSc3Ga (GGA-PBE)

Data for crystalline PmSc3Ga at its relaxed geometry.

Output
**Formation energy from the elements**: -0.104 eV/atom
**Energy**: -5.46 eV/atom

Cell: 7.2579 7.2579 5.6505 Å, 90.00 90.00 120.00°
Fractional positions:
Pm (0.3333, 0.6667, 0.2500)
Pm (0.6667, 0.3333, 0.7500)
Sc (0.1875, 0.3750, 0.7500)
Sc (0.1875, 0.8125, 0.7500)
Sc (0.3750, 0.1875, 0.2500)
Sc (0.6250, 0.8125, 0.7500)
Sc (0.8125, 0.1875, 0.2500)
Sc (0.8125, 0.6250, 0.2500)
Ga (0.0000, 0.0000, 0.0000)
Ga (0.0000, 0.0000, 0.5000)

6.
## Tb3Nd6In (GGA-PBE)

Data for crystalline Tb3Nd6In at its relaxed geometry.

Output
**Formation energy from the elements**: 0.001 eV/atom
**Energy**: -4.52 eV/atom

Cell: 12.4833 3.6306 14.9114 Å, 90.00 94.01 90.00°
Fractional positions:
Tb (0.0538, 0.2500, 0.3033)
Tb (0.1005, 0.2500, 0.0812)
Tb (0.4269, 0.2500, 0.8176)
Tb (0.5731, 0.7500, 0.1824)
Tb (0.8995, 0.7500, 0.9188)
Tb (0.9462, 0.7500, 0.6967)
Nd (0.1111, 0.7500, 0.5034)
Nd (0.1894, 0.7500, 0.8915)
Nd (0.2062, 0.2500, 0.6853)
Nd (0.3011, 0.7500, 0.2512)
Nd (0.3810, 0.2500, 0.0454)
Nd (0.4396, 0.7500, 0.6065)
Nd (0.5604, 0.2500, 0.3935)
Nd (0.6190, 0.7500, 0.9546)
Nd (0.6989, 0.2500, 0.7488)
Nd (0.7938, 0.7500, 0.3147)
Nd (0.8106, 0.2500, 0.1085)
Nd (0.8889, 0.2500, 0.4966)
In (0.3072, 0.2500, 0.4426)
In (0.6928, 0.7500, 0.5574)

7.
## ScTa2Pb (GGA-PBE)

Data for crystalline ScTa2Pb at its relaxed geometry.

Output
**Formation energy from the elements**: 0.268 eV/atom
**Energy**: -8.17 eV/atom

Cell: 5.1444 5.1444 5.5561 Å, 97.23 97.23 35.04°
Fractional positions:
Sc (0.0000, 0.0000, 0.0000)
Ta (0.2365, 0.2365, 0.7328)
Ta (0.4933, 0.4933, 0.5278)
Pb (0.7499, 0.7499, 0.2483)

8.
## Ac2Ga5Co3 (GGA-PBE)

Data for crystalline Ac2Ga5Co3 at its relaxed geometry.

Output
**Formation energy from the elements**: -0.368 eV/atom
**Energy**: -4.83 eV/atom

Cell: 8.5749 8.5749 8.5749 Å, 107.44 87.18 138.54°
Fractional positions:
Ac (0.1253, 0.2363, 0.3616)
Ac (0.3747, 0.7363, 0.1110)
Ac (0.6253, 0.2637, 0.8890)
Ac (0.8747, 0.7637, 0.6384)
Ga (0.0241, 0.7500, 0.2741)
Ga (0.1208, 0.8789, 0.9997)
Ga (0.2500, 0.7500, 0.5000)
Ga (0.3792, 0.3789, 0.7581)
Ga (0.4759, 0.7500, 0.7259)
Ga (0.5241, 0.2500, 0.2741)
Ga (0.6208, 0.6211, 0.2419)
Ga (0.7500, 0.2500, 0.5000)
Ga (0.8792, 0.1211, 0.0003)
Ga (0.9759, 0.2500, 0.7259)
Co (0.1177, 0.6354, 0.7531)
Co (0.2500, 0.2500, 0.0000)
Co (0.3823, 0.1354, 0.5177)
Co (0.6177, 0.8646, 0.4823)
Co (0.7500, 0.7500, 0.0000)
Co (0.8823, 0.3646, 0.2469)

- What is the formula in the eighth record?
  Ac2Ga5Co3